Entry from Alexandria via LeMat-Bulk: a PBEsol-optimized structure of Tc2GeH2 (meta-GGA SCAN).

The structure in CIF format:
```
data_Tc2GeH2
_chemical_formula_sum 'Tc2 Ge1 H2'
_symmetry_space_group_name_H-M 'P 1'
_symmetry_Int_Tables_number 1
_symmetry_space_group_name_Hall 'P 1'
_cell_length_a 3.0436
_cell_length_b 3.0436
_cell_length_c 5.5354
_cell_angle_alpha 105.96
_cell_angle_beta 105.96
_cell_angle_gamma 90.00
loop_
_atom_site_label
_atom_site_type_symbol
_atom_site_fract_x
_atom_site_fract_y
_atom_site_fract_z
H1 H 0.2500 0.7500 0.5000
H2 H 0.7500 0.2500 0.5000
Ge1 Ge 0.0000 0.0000 0.0000
Tc1 Tc 0.3559 0.3559 0.7118
Tc2 Tc 0.6441 0.6441 0.2882
```

Calculated density (g cm⁻³): 9.51
Fermi-level density of states (states/eV/cell): 3.069
Electronic total energy (eV/atom): -19.196
Spin magnetization (μB/f.u.): 0.00